# 1
A plane-wave DFT calculation with GGA-PBEsol was carried out for KZnOs after structural relaxation.

Calculated values
Its density of states at the Fermi level is 0.370 states/eV per atom. The calculation puts the polymorph energy (0 for the lowest one) at 0.000 eV/atom. The space-group type is P-6m2 (187). As for the crystal system: hexagonal.

Structure (CIF):
```
data_KZnOs
_chemical_formula_sum 'K1 Zn1 Os1'
_cell_length_a 2.593
_cell_length_b 4.944
_cell_length_c 4.944
_cell_angle_alpha 120.00
_cell_angle_beta 90.00
_cell_angle_gamma 90.00
_space_group_name_H-M_alt 'P 1'
_space_group_IT_number 1
loop_
_space_group_symop_operation_xyz
'x,y,z'
loop_
_atom_site_label
_atom_site_type_symbol
_atom_site_fract_x
_atom_site_fract_y
_atom_site_fract_z
Os1 Os 0.498 0.333 0.667
Zn1 Zn 0.501 0.667 0.333
K1 K 0.000 0.000 0.000
```



# 2
A plane-wave DFT calculation with GGA-PBEsol was carried out for KZrOs2 after structural relaxation.

Calculated values
Its density of states at the Fermi level is 0.969 states/eV per atom. The calculation puts the polymorph energy (0 for the lowest one) at 0.000 eV/atom. The space-group type is Pmm2 (25). As for the crystal system: orthorhombic.

Structure (CIF):
```
data_KZrOs2
_chemical_formula_sum 'K1 Zr1 Os2'
_cell_length_a 2.813
_cell_length_b 3.832
_cell_length_c 8.699
_cell_angle_alpha 90.00
_cell_angle_beta 90.00
_cell_angle_gamma 90.00
_space_group_name_H-M_alt 'P 1'
_space_group_IT_number 1
loop_
_space_group_symop_operation_xyz
'x,y,z'
loop_
_atom_site_label
_atom_site_type_symbol
_atom_site_fract_x
_atom_site_fract_y
_atom_site_fract_z
Os1 Os 0.500 0.500 0.205
Os2 Os 0.000 0.000 0.099
K1 K 0.500 0.500 0.796
Zr1 Zr 0.000 0.000 0.401
```



# 3
A plane-wave DFT calculation with GGA-PBEsol was carried out for KZrOs2 after structural relaxation.

Calculated values
Its density of states at the Fermi level is 1.042 states/eV per atom. The calculation puts the polymorph energy (0 for the lowest one) at 0.584 eV/atom. The space-group type is C2/m (12). As for the crystal system: monoclinic.

Structure (CIF):
```
data_KZrOs2
_chemical_formula_sum 'K1 Zr1 Os2'
_cell_length_a 2.564
_cell_length_b 5.558
_cell_length_c 5.558
_cell_angle_alpha 113.52
_cell_angle_beta 90.40
_cell_angle_gamma 90.40
_space_group_name_H-M_alt 'P 1'
_space_group_IT_number 1
loop_
_space_group_symop_operation_xyz
'x,y,z'
loop_
_atom_site_label
_atom_site_type_symbol
_atom_site_fract_x
_atom_site_fract_y
_atom_site_fract_z
Zr1 Zr 0.500 0.500 0.500
K1 K 0.500 0.000 0.000
Os1 Os 0.000 0.000 0.500
Os2 Os 0.000 0.500 0.000
```



# 4
A plane-wave DFT calculation with GGA-PBEsol was carried out for KZrOs3 after structural relaxation.

Calculated values
Its density of states at the Fermi level is 0.627 states/eV per atom. The space-group type is Pm-3m (221). As for the crystal system: cubic.

Structure (CIF):
```
data_KZrOs3
_chemical_formula_sum 'K1 Zr1 Os3'
_cell_length_a 4.479
_cell_length_b 4.479
_cell_length_c 4.479
_cell_angle_alpha 90.00
_cell_angle_beta 90.00
_cell_angle_gamma 90.00
_space_group_name_H-M_alt 'P 1'
_space_group_IT_number 1
loop_
_space_group_symop_operation_xyz
'x,y,z'
loop_
_atom_site_label
_atom_site_type_symbol
_atom_site_fract_x
_atom_site_fract_y
_atom_site_fract_z
K1 K 0.000 0.000 0.000
Os1 Os 0.000 0.000 0.500
Os2 Os 0.000 0.500 0.000
Os3 Os 0.500 0.000 0.000
Zr1 Zr 0.500 0.500 0.500
```



# 5
A plane-wave DFT calculation with GGA-PBEsol was carried out for KZrOs2 after structural relaxation.

Calculated values
Its density of states at the Fermi level is 0.783 states/eV per atom. The calculation puts the polymorph energy (0 for the lowest one) at 0.246 eV/atom. The space-group type is P2/m (10). As for the crystal system: monoclinic.

Structure (CIF):
```
data_KZrOs2
_chemical_formula_sum 'K1 Zr1 Os2'
_cell_length_a 2.783
_cell_length_b 4.447
_cell_length_c 7.115
_cell_angle_alpha 90.00
_cell_angle_beta 96.21
_cell_angle_gamma 90.00
_space_group_name_H-M_alt 'P 1'
_space_group_IT_number 1
loop_
_space_group_symop_operation_xyz
'x,y,z'
loop_
_atom_site_label
_atom_site_type_symbol
_atom_site_fract_x
_atom_site_fract_y
_atom_site_fract_z
Zr1 Zr 0.500 0.500 0.000
Os1 Os 0.255 0.000 0.160
Os2 Os 0.745 0.000 0.840
K1 K 0.000 0.500 0.500
```



# 6
A plane-wave DFT calculation with GGA-PBEsol was carried out for K3P after structural relaxation.

Calculated values
Its density of states at the Fermi level is 0.545 states/eV per atom. The space-group type is P4/mmm (123). As for the crystal system: tetragonal.

Structure (CIF):
```
data_K3P
_chemical_formula_sum 'K3 P1'
_cell_length_a 3.975
_cell_length_b 3.982
_cell_length_c 10.957
_cell_angle_alpha 90.00
_cell_angle_beta 90.00
_cell_angle_gamma 90.00
_space_group_name_H-M_alt 'P 1'
_space_group_IT_number 1
loop_
_space_group_symop_operation_xyz
'x,y,z'
loop_
_atom_site_label
_atom_site_type_symbol
_atom_site_fract_x
_atom_site_fract_y
_atom_site_fract_z
K1 K 0.500 0.500 0.847
K2 K 0.500 0.500 0.153
K3 K 0.000 0.000 0.500
P1 P 0.000 0.000 0.000
```



# 7
A plane-wave DFT calculation with GGA-PBEsol was carried out for KP after structural relaxation.

Calculated values
Its density of states at the Fermi level is 0.575 states/eV per atom. The calculation puts the polymorph energy (0 for the lowest one) at 1.327 eV/atom. The space-group type is F-43m (216). As for the crystal system: cubic.

Structure (CIF):
```
data_KP
_chemical_formula_sum 'K1 P1'
_cell_length_a 5.173
_cell_length_b 5.173
_cell_length_c 5.173
_cell_angle_alpha 60.00
_cell_angle_beta 60.00
_cell_angle_gamma 60.00
_space_group_name_H-M_alt 'P 1'
_space_group_IT_number 1
loop_
_space_group_symop_operation_xyz
'x,y,z'
loop_
_atom_site_label
_atom_site_type_symbol
_atom_site_fract_x
_atom_site_fract_y
_atom_site_fract_z
K1 K 0.000 0.000 0.000
P1 P 0.750 0.750 0.750
```



# 8
A plane-wave DFT calculation with GGA-PBEsol was carried out for K2P3 after structural relaxation.

Calculated values
The space-group type is Fmmm (69). As for the crystal system: orthorhombic.

Structure (CIF):
```
data_K2P3
_chemical_formula_sum 'K4 P6'
_cell_length_a 6.287
_cell_length_b 6.287
_cell_length_c 8.245
_cell_angle_alpha 110.48
_cell_angle_beta 110.48
_cell_angle_gamma 94.71
_space_group_name_H-M_alt 'P 1'
_space_group_IT_number 1
loop_
_space_group_symop_operation_xyz
'x,y,z'
loop_
_atom_site_label
_atom_site_type_symbol
_atom_site_fract_x
_atom_site_fract_y
_atom_site_fract_z
P1 P 0.705 0.705 0.847
P2 P 0.846 0.846 0.693
P3 P 0.857 0.857 0.153
P4 P 0.295 0.295 0.153
P5 P 0.143 0.143 0.847
P6 P 0.154 0.154 0.307
K1 K 0.250 0.750 0.500
K2 K 0.270 0.730 0.000
K3 K 0.750 0.250 0.500
K4 K 0.730 0.270 0.000
```



# 9
A plane-wave DFT calculation with GGA-PBEsol was carried out for K4P5 after structural relaxation.

Calculated values
Its density of states at the Fermi level is 0.804 states/eV per atom. The space-group type is I4/mmm (139). As for the crystal system: tetragonal.

Structure (CIF):
```
data_K4P5
_chemical_formula_sum 'K4 P5'
_cell_length_a 3.362
_cell_length_b 10.665
_cell_length_c 10.665
_cell_angle_alpha 88.58
_cell_angle_beta 80.93
_cell_angle_gamma 80.93
_space_group_name_H-M_alt 'P 1'
_space_group_IT_number 1
loop_
_space_group_symop_operation_xyz
'x,y,z'
loop_
_atom_site_label
_atom_site_type_symbol
_atom_site_fract_x
_atom_site_fract_y
_atom_site_fract_z
K1 K 0.000 0.200 0.800
K2 K 0.200 0.800 0.800
K3 K 0.000 0.800 0.200
K4 K 0.800 0.200 0.200
P1 P 0.782 0.436 0.000
P2 P 0.000 0.000 0.000
P3 P 0.218 0.564 0.000
P4 P 0.218 0.000 0.564
P5 P 0.782 0.000 0.436
```



# 10
A plane-wave DFT calculation with GGA-PBEsol was carried out for KP after structural relaxation.

Calculated values
The calculation puts the polymorph energy (0 for the lowest one) at 0.000 eV/atom. The space-group type is P2_12_12_1 (19). As for the crystal system: orthorhombic.

Structure (CIF):
```
data_KP
_chemical_formula_sum 'K8 P8'
_cell_length_a 6.002
_cell_length_b 6.470
_cell_length_c 11.202
_cell_angle_alpha 90.00
_cell_angle_beta 90.00
_cell_angle_gamma 90.00
_space_group_name_H-M_alt 'P 1'
_space_group_IT_number 1
loop_
_space_group_symop_operation_xyz
'x,y,z'
loop_
_atom_site_label
_atom_site_type_symbol
_atom_site_fract_x
_atom_site_fract_y
_atom_site_fract_z
P1 P 0.407 0.420 0.529
P2 P 0.332 0.813 0.103
P3 P 0.593 0.920 0.971
P4 P 0.907 0.080 0.471
P5 P 0.093 0.580 0.029
P6 P 0.832 0.687 0.897
P7 P 0.168 0.187 0.603
P8 P 0.668 0.313 0.397
K1 K 0.667 0.150 0.718
K2 K 0.899 0.617 0.584
K3 K 0.167 0.350 0.282
K4 K 0.101 0.117 0.916
K5 K 0.333 0.650 0.782
K6 K 0.601 0.383 0.084
K7 K 0.833 0.850 0.218
K8 K 0.399 0.883 0.416
```



It is found that the E_tot values, taken in the order of the records, are -11.7 -32.5 -30.2 -31.8 -31.5 -9.0 -5.1 -43.4 -33.0 -62.0 eV for the cell shown.
It is found that the energy of formation from the pure elements values, taken in the order of the records, are 1.083 0.533 1.117 3.007 0.779 0.052 0.911 -0.411 0.049 -0.415 eV per atom.